Record 1
DFT (PBE) results for a relaxed LuInBiTe3 crystal.

Cell: 4.2281 15.0042 12.4309 Å, 90.00 90.00 90.00°
Closest atoms and distances in Å follow each position.
Space group Cmcm (No. 63)
Inequivalent atoms, fractional coordinates:
Lu 0.0000 0.0000 0.0000  6 Te 3.00-3.15
In 0.0000 0.3112 0.2500  4 Te 3.16-3.21, 2 Bi 3.32
Bi 0.0000 0.3590 0.7500  4 Te 3.08-3.36, 2 In 3.32
Te 0.0000 0.0326 0.7500  2 Lu 3.15, 2 In 3.16, 2 Bi 3.36
Te 0.0000 0.3577 0.5024  2 Lu 3.00, 1 Bi 3.08, 1 In 3.21

Output
Mass density: 7.43 g cm⁻³
Magnetic moment: 0.06 μB per cell
Uncorrected energy: -4.03 eV/atom
Relative energy among the computed polymorphs: 0.010 eV/atom

Record 2
DFT (PBE) results for a relaxed LuInBiTe3 crystal.

Cell: 19.0583 4.2885 10.6457 Å, 90.00 104.53 90.00°
Closest atoms and distances in Å follow each position.
Space group C2/m (No. 12)
Inequivalent atoms, fractional coordinates:
Lu 0.1743 0.0000 0.0826  6 Te 3.00-3.22
In 0.1320 0.0000 0.5897  5 Te 3.26-3.63
Bi 0.0221 0.5000 0.2252  4 Te 2.97-3.16
Te 0.0000 0.0000 0.0000  4 Bi 3.16, 2 Lu 3.22
Te 0.0000 0.5000 0.5000  2 Bi 3.06, 4 In 3.26
Te 0.1637 0.5000 0.8741  3 Lu 3.00-3.06
Te 0.1829 0.5000 0.2894  1 Bi 2.97, 2 Lu 3.05

Output
Mass density: 6.95 g cm⁻³
Magnetic moment: 0.01 μB per cell
Uncorrected energy: -4.04 eV/atom
Relative energy among the computed polymorphs: 0.000 eV/atom

Record 3
DFT (PBE) results for a relaxed InBiMo crystal.

Cell: 6.9722 6.9722 6.9722 Å, 90.00 90.00 90.00°
Closest atoms and distances in Å follow each position.
Space group F-43m (No. 216)
Inequivalent atoms, fractional coordinates:
In 0.0000 0.0000 0.0000  4 Mo 3.02, 4 Bi 3.02
Bi 0.2500 0.2500 0.7500  4 In 3.02
Mo 0.2500 0.2500 0.2500  4 In 3.02

Output
Mass density: 8.23 g cm⁻³
Magnetic moment: 13.72 μB per cell
Uncorrected energy: -4.74 eV/atom

Record 4
DFT (PBE) results for a relaxed InBi5Mo3 crystal.

Cell: 5.6567 5.6567 8.6702 Å, 90.00 90.00 120.00°
Closest atoms and distances in Å follow each position.
Space group P6/mmm (No. 191)
Inequivalent atoms, fractional coordinates:
In 0.0000 0.0000 0.0000  12 Bi 3.75
Bi 0.0000 0.0000 0.5000  6 Mo 2.83
Bi 0.3333 0.6667 0.2115  3 Mo 2.99, 3 Bi 3.27
Mo 0.0000 0.5000 0.5000  4 Mo 2.83, 6 Bi 2.83-2.99

Output
Mass density: 10.00 g cm⁻³
Magnetic moment: 0.00 μB per cell
Uncorrected energy: -5.86 eV/atom

Record 5
DFT (PBE) results for a relaxed In2BiMo crystal.

Cell: 7.2856 7.2856 7.2856 Å, 90.00 90.00 90.00°
Closest atoms and distances in Å follow each position.
Space group F-43m (No. 216)
Inequivalent atoms, fractional coordinates:
In 0.0000 0.0000 0.0000  4 In 3.15, 4 Mo 3.15
In 0.2500 0.2500 0.2500  4 In 3.15, 4 Bi 3.15
Bi 0.0000 0.0000 0.5000  4 Mo 3.15, 4 In 3.15
Mo 0.2500 0.2500 0.7500  4 In 3.15, 4 Bi 3.15

Output
Mass density: 9.18 g cm⁻³
Magnetic moment: 11.00 μB per cell
Uncorrected energy: -4.41 eV/atom

Record 6
DFT (PBE) results for a relaxed Nb4InBiN2 crystal.

Cell: 3.3021 3.3021 13.8444 Å, 90.00 90.00 120.00°
Closest atoms and distances in Å follow each position.
Space group P-6m2 (No. 187)
Inequivalent atoms, fractional coordinates:
Nb 0.0000 0.0000 0.1701  3 N 2.21
Nb 0.6667 0.3333 0.3272  3 N 2.18
In 0.6667 0.3333 0.0000  6 Nb 3.03, 6 In 3.30
Bi 0.0000 0.0000 0.5000  6 Nb 3.06, 6 Bi 3.30
N 0.3333 0.6667 0.2506  6 Nb 2.18-2.21

Output
Mass density: 9.19 g cm⁻³
Magnetic moment: 0.00 μB per cell
Uncorrected energy: -8.40 eV/atom

Record 7
DFT (PBE) results for a relaxed Ta4InBiN2 crystal.

Cell: 3.2669 3.2669 13.9793 Å, 90.00 90.00 120.00°
Closest atoms and distances in Å follow each position.
Space group P-6m2 (No. 187)
Inequivalent atoms, fractional coordinates:
Ta 0.0000 0.0000 0.1681  3 N 2.20
Ta 0.3333 0.6667 0.3250  3 N 2.17
In 0.3333 0.6667 0.0000  6 Ta 3.01, 6 In 3.27
Bi 0.0000 0.0000 0.5000  6 Ta 3.09, 6 Bi 3.27
N 0.6667 0.3333 0.2488  6 Ta 2.17-2.20

Output
Mass density: 13.82 g cm⁻³
Magnetic moment: 0.00 μB per cell
Uncorrected energy: -9.11 eV/atom

Record 8
DFT (PBE) results for a relaxed Nb3InBi5 crystal.

Cell: 5.8111 5.8111 8.7989 Å, 90.00 90.00 120.00°
Closest atoms and distances in Å follow each position.
Space group P6/mmm (No. 191)
Inequivalent atoms, fractional coordinates:
Nb 0.0000 0.5000 0.0000  4 Nb 2.91, 6 Bi 2.91-3.04
In 0.0000 0.0000 0.5000  12 Bi 3.84
Bi 0.0000 0.0000 0.0000  6 Nb 2.91
Bi 0.3333 0.6667 0.2876  3 Nb 3.04, 3 Bi 3.36

Output
Mass density: 9.28 g cm⁻³
Magnetic moment: 0.00 μB per cell
Uncorrected energy: -5.85 eV/atom

Record 9
DFT (PBE) results for a relaxed Nb2InBi2 crystal.

Cell: 4.3177 4.3177 13.6410 Å, 90.00 90.00 90.00°
Closest atoms and distances in Å follow each position.
Space group I4/mmm (No. 139)
Inequivalent atoms, fractional coordinates:
Nb 0.0000 0.5000 0.2500  4 Bi 2.87, 4 Nb 3.05
In 0.0000 0.0000 0.0000  8 Bi 3.41
Bi 0.0000 0.0000 0.3888  4 Nb 2.87, 1 Bi 3.03

Output
Mass density: 9.38 g cm⁻³
Magnetic moment: 0.01 μB per cell
Uncorrected energy: -5.75 eV/atom

Record 10
DFT (PBE) results for a relaxed Nd2InBiO6 crystal.

Cell: 8.5073 8.5073 8.5073 Å, 90.00 90.00 90.00°
Closest atoms and distances in Å follow each position.
Space group Fm-3m (No. 225)
Inequivalent atoms, fractional coordinates:
Nd 0.2500 0.2500 0.2500  12 O 3.01
In 0.0000 0.0000 0.0000  6 O 2.07
Bi 0.0000 0.0000 0.5000  6 O 2.19
O 0.0000 0.0000 0.2430  1 In 2.07, 1 Bi 2.19

Output
Mass density: 7.64 g cm⁻³
Magnetic moment: 0.02 μB per cell
Uncorrected energy: -6.32 eV/atom

Record 11
DFT (PBE) results for a relaxed InNiBi2 crystal.

Cell: 7.3840 7.3840 7.3840 Å, 90.00 90.00 90.00°
Closest atoms and distances in Å follow each position.
Space group F-43m (No. 216)
Inequivalent atoms, fractional coordinates:
In 0.0000 0.0000 0.0000  4 Bi 3.20, 4 Ni 3.20
Ni 0.2500 0.2500 0.2500  4 In 3.20, 4 Bi 3.20
Bi 0.0000 0.0000 0.5000  4 Bi 3.20, 4 Ni 3.20
Bi 0.2500 0.2500 0.7500  4 In 3.20, 4 Bi 3.20

Output
Mass density: 9.76 g cm⁻³
Magnetic moment: 0.01 μB per cell
Uncorrected energy: -3.70 eV/atom

Record 12
DFT (PBE) results for a relaxed In3NiBi crystal.

Cell: 8.6674 8.6674 11.1399 Å, 90.00 90.00 120.00°
Closest atoms and distances in Å follow each position.
Space group R-3c (No. 167, hexagonal axes)
Inequivalent atoms, fractional coordinates:
In 0.0000 0.2997 0.2500  1 Ni 2.60
Ni 0.0000 0.0000 0.2500  3 In 2.60, 2 Bi 2.78
Bi 0.0000 0.0000 0.0000  2 Ni 2.78

Output
Mass density: 8.41 g cm⁻³
Magnetic moment: 0.01 μB per cell
Uncorrected energy: -3.44 eV/atom